The following is a PBE-GGA calculation of a relaxed structure of Cd7PdRh2, from Alexandria via LeMat-Bulk.

Summary:
V, Å³ per cell: 207.19
Space group: P3m1 (156)
Crystal system: trigonal
Spin magnetization, μB/f.u.: 0.0
E, eV/atom: -2.690

Structure (CIF):
```
data_Cd7PdRh2
_space_group_name_H-M_alt 'P 1'
_space_group_IT_number 1
_space_group_name_Hall 'P 1'
_cell_length_a 4.6238
_cell_length_b 4.6238
_cell_length_c 11.1904
_cell_angle_alpha 90.00
_cell_angle_beta 90.00
_cell_angle_gamma 120.00
loop_
_atom_site_label
_atom_site_type_symbol
_atom_site_fract_x
_atom_site_fract_y
_atom_site_fract_z
Cd1 Cd 0.0000 0.0000 0.0000
Cd2 Cd 0.0000 0.0000 0.2593
Cd3 Cd 0.0000 0.0000 0.5243
Cd4 Cd 0.3333 0.6667 0.1425
Cd5 Cd 0.3333 0.6667 0.6813
Cd6 Cd 0.6667 0.3333 0.3662
Cd7 Cd 0.6667 0.3333 0.8454
Pd1 Pd 0.3333 0.6667 0.4167
Rh1 Rh 0.0000 0.0000 0.7619
Rh2 Rh 0.6667 0.3333 0.1062
```

***

The following is a PBE-GGA calculation of a relaxed structure of CdPd14Rh, from Alexandria via LeMat-Bulk.

Summary:
V, Å³ per cell: 248.74
Space group: Amm2 (38)
Crystal system: orthorhombic
Spin magnetization, μB/f.u.: 1.9
E, eV/atom: -5.082

Structure (CIF):
```
data_CdPd14Rh
_space_group_name_H-M_alt 'P 1'
_space_group_IT_number 1
_space_group_name_Hall 'P 1'
_cell_length_a 9.1931
_cell_length_b 5.5764
_cell_length_c 5.5764
_cell_angle_alpha 60.47
_cell_angle_beta 90.00
_cell_angle_gamma 90.00
loop_
_atom_site_label
_atom_site_type_symbol
_atom_site_fract_x
_atom_site_fract_y
_atom_site_fract_z
Cd1 Cd 0.0000 0.0000 0.0000
Pd1 Pd 0.0000 0.9999 0.5011
Pd2 Pd 0.0000 0.5011 0.9999
Pd3 Pd 0.2477 0.3319 0.3319
Pd4 Pd 0.2497 0.3334 0.8286
Pd5 Pd 0.2497 0.8286 0.3334
Pd6 Pd 0.2525 0.8306 0.8306
Pd7 Pd 0.5000 0.1623 0.1623
Pd8 Pd 0.5000 0.1622 0.6615
Pd9 Pd 0.5000 0.6615 0.1622
Pd10 Pd 0.5000 0.6617 0.6617
Pd11 Pd 0.7475 0.8306 0.8306
Pd12 Pd 0.7503 0.3334 0.8286
Pd13 Pd 0.7503 0.8286 0.3334
Pd14 Pd 0.7523 0.3319 0.3319
Rh1 Rh 0.0000 0.4990 0.4990
```

***

The following is a PBE-GGA calculation of a relaxed structure of CdPdRh3, from Alexandria via LeMat-Bulk.

Summary:
V, Å³ per cell: 108.10
Space group: Pm-3m (221)
Crystal system: cubic
Spin magnetization, μB/f.u.: 3.1
E, eV/atom: -4.325
Offset from the most stable computed form, eV/atom: 0.000

Structure (CIF):
```
data_CdPdRh3
_space_group_name_H-M_alt 'P 1'
_space_group_IT_number 1
_space_group_name_Hall 'P 1'
_cell_length_a 4.7636
_cell_length_b 4.7636
_cell_length_c 4.7636
_cell_angle_alpha 90.00
_cell_angle_beta 90.00
_cell_angle_gamma 90.00
loop_
_atom_site_label
_atom_site_type_symbol
_atom_site_fract_x
_atom_site_fract_y
_atom_site_fract_z
Cd1 Cd 0.0000 0.0000 0.0000
Pd1 Pd 0.5000 0.5000 0.5000
Rh1 Rh 0.0000 0.5000 0.5000
Rh2 Rh 0.5000 0.0000 0.5000
Rh3 Rh 0.5000 0.5000 0.0000
```

***

| no. | E_form (meV per atom) |
| --- | --- |
| 1 | -60 |
| 2 | -22 |
| 3 | 1307 |